VASP calculation (PBE with a Hubbard U) on a relaxed structure of PaMnIrO6.

Calculated values
The density of states at the Fermi level is 7.5 states/eV per cell. The final energy is -8.07 eV per atom. Its space-group type is P-31c.

Unit cell a=5.388 b=5.388 c=8.923 alpha=90.00 beta=90.00 gamma=120.00
Each line ends with the local moment (μB).
Element x y z (fractional)
Pa 0.333 0.667 0.250  0.04
Pa 0.667 0.333 0.750  0.04
Mn 0.667 0.333 0.250  -4.43
Mn 0.333 0.667 0.750  -4.43
Ir 0.000 0.000 0.000  0.84
Ir 0.000 0.000 0.500  0.84
O 0.689 0.689 0.123  0.09
O 0.999 0.311 0.123  0.09
O 0.311 0.999 0.623  0.09
O 0.001 0.689 0.877  0.09
O 0.311 0.311 0.377  0.09
O 0.999 0.689 0.377  0.09
O 0.689 0.999 0.877  0.09
O 0.689 0.001 0.377  0.09
O 0.001 0.311 0.623  0.09
O 0.311 0.001 0.123  0.09
O 0.689 0.689 0.623  0.09
O 0.311 0.311 0.877  0.09